Here is crystalline SrCo2Pb at its relaxed geometry from the Alexandria database. Energies are from PBEsol.

Cell lengths 4.085, 4.085, 5.419 Å; angles 112.14, 112.14, 90.00 degrees
Each line ends with the local moment (μB).
Element x y z (fractional)
Co 0.750 0.250 0.500  1.06
Co 0.000 0.000 0.000  1.32
Sr 0.250 0.750 0.500  -0.07
Pb 0.500 0.500 0.000  -0.06

Properties
Magnetic moment, μB/atom: 0.510
DFT total energy, eV per atom: -4.6486
Formation energy from the elements, meV per atom: 680